No. 1
This record from the Alexandria database describes a relaxed structure of NdTmAu2. The functional is PBE-GGA.

```
data_NdTmAu2
_chemical_formula_sum 'Nd3 Tm3 Au6'
_space_group_name_H-M_alt 'R -3 m'
_space_group_IT_number 166
_space_group_name_Hall '-R 3 2"'
_cell_length_a 4.3095
_cell_length_b 4.3095
_cell_length_c 20.1804
_cell_angle_alpha 90.00
_cell_angle_beta 90.00
_cell_angle_gamma 120.00
loop_
_atom_site_label
_atom_site_type_symbol
_atom_site_fract_x
_atom_site_fract_y
_atom_site_fract_z
Nd1 Nd 0.0000 0.0000 0.0000
Tm1 Tm 0.0000 0.0000 0.5000
Au1 Au 0.0000 0.0000 0.2421
```

## Properties
- total moment (μB/f.u.) = 0.00
- formation energy from the elements (meV per atom) = -712

***

No. 2
This record from the Alexandria database describes a relaxed structure of NdTmAu. The functional is PBE-GGA.

```
data_NdTmAu
_chemical_formula_sum 'Nd1 Tm1 Au1'
_space_group_name_H-M_alt 'P 3 m 1'
_space_group_IT_number 156
_space_group_name_Hall 'P 3 -2"'
_cell_length_a 4.8960
_cell_length_b 4.8960
_cell_length_c 4.0304
_cell_angle_alpha 90.00
_cell_angle_beta 90.00
_cell_angle_gamma 120.00
loop_
_atom_site_label
_atom_site_type_symbol
_atom_site_fract_x
_atom_site_fract_y
_atom_site_fract_z
Nd1 Nd 0.0000 0.0000 0.0000
Tm1 Tm 0.6667 0.3333 0.5114
Au1 Au 0.3333 0.6667 0.3996
```

## Properties
- total moment (μB/f.u.) = 0.00
- formation energy from the elements (meV per atom) = -414

***

No. 3
This record from the Alexandria database describes a relaxed structure of NdTm5Au6. The functional is PBE-GGA.

```
data_NdTm5Au6
_chemical_formula_sum 'Nd2 Tm10 Au12'
_space_group_name_H-M_alt 'C 1 2/m 1'
_space_group_IT_number 12
_space_group_name_Hall '-C 2y'
_cell_length_a 16.122
_cell_length_b 7.100
_cell_length_c 5.074
_cell_angle_alpha 90.00
_cell_angle_beta 108.26
_cell_angle_gamma 90.00
loop_
_atom_site_label
_atom_site_type_symbol
_atom_site_fract_x
_atom_site_fract_y
_atom_site_fract_z
Nd1 Nd 0.000 0.000 0.000
Tm1 Tm 0.000 0.500 0.000
Tm2 Tm 0.165 0.000 0.665
Tm3 Tm 0.168 0.500 0.668
Au1 Au 0.000 0.268 0.500
Au2 Au 0.172 0.259 0.172
```

## Properties
- total moment (μB/f.u.) = 0.00
- formation energy from the elements (meV per atom) = -864

***

No. 4
This record from the Alexandria database describes a relaxed structure of NdTm3Au2. The functional is PBE-GGA.

```
data_NdTm3Au2
_chemical_formula_sum 'Nd2 Tm6 Au4'
_space_group_name_H-M_alt 'P m c 21'
_space_group_IT_number 26
_space_group_name_Hall 'P 2c -2'
_cell_length_a 4.933
_cell_length_b 8.902
_cell_length_c 7.163
_cell_angle_alpha 90.00
_cell_angle_beta 90.00
_cell_angle_gamma 90.00
loop_
_atom_site_label
_atom_site_type_symbol
_atom_site_fract_x
_atom_site_fract_y
_atom_site_fract_z
Nd1 Nd 0.000 0.075 0.000
Tm1 Tm 0.000 0.331 0.635
Tm2 Tm 0.500 0.173 0.337
Tm3 Tm 0.500 0.430 0.972
Au1 Au 0.000 0.356 0.237
Au2 Au 0.500 0.158 0.738
```

## Properties
- total moment (μB/f.u.) = 0.00
- formation energy from the elements (meV per atom) = -633

***

No. 5
This record from the Alexandria database describes a relaxed structure of NdTmAu2. The functional is PBE-GGA.

```
data_NdTmAu2
_chemical_formula_sum 'Nd1 Tm1 Au2'
_space_group_name_H-M_alt 'P 4/m m m'
_space_group_IT_number 123
_space_group_name_Hall '-P 4 2'
_cell_length_a 3.590
_cell_length_b 3.590
_cell_length_c 7.426
_cell_angle_alpha 90.00
_cell_angle_beta 90.00
_cell_angle_gamma 90.00
loop_
_atom_site_label
_atom_site_type_symbol
_atom_site_fract_x
_atom_site_fract_y
_atom_site_fract_z
Nd1 Nd 0.000 0.000 0.000
Tm1 Tm 0.000 0.000 0.500
Au1 Au 0.500 0.500 0.276
```

## Properties
- total moment (μB/f.u.) = 0.00
- formation energy from the elements (meV per atom) = -835

***

No. 6
This record from the Alexandria database describes a relaxed structure of NdTmAu. The functional is PBE-GGA.

```
data_NdTmAu
_chemical_formula_sum 'Nd4 Tm4 Au4'
_space_group_name_H-M_alt 'F -4 3 m'
_space_group_IT_number 216
_space_group_name_Hall 'F -4 2 3'
_cell_length_a 7.110
_cell_length_b 7.110
_cell_length_c 7.110
_cell_angle_alpha 90.00
_cell_angle_beta 90.00
_cell_angle_gamma 90.00
loop_
_atom_site_label
_atom_site_type_symbol
_atom_site_fract_x
_atom_site_fract_y
_atom_site_fract_z
Nd1 Nd 0.000 0.000 0.000
Tm1 Tm 0.000 0.000 0.500
Au1 Au 0.250 0.250 0.750
```

## Properties
- total moment (μB/f.u.) = 0.00
- formation energy from the elements (meV per atom) = -413